Below is a relaxed structure of Tl2Hg2As, with properties calculated at the PBEsol level. Values from VASP.

```
&SYSTEM
  ibrav = 0, nat = 10, ntyp = 3
/
ATOMIC_SPECIES
Hg 200.59 Hg.upf
Tl 204.38 Tl.upf
As 74.92 As.upf
CELL_PARAMETERS angstrom
-3.820 3.084 0.152
-1.619 -2.334 6.668
4.260 5.135 2.832
ATOMIC_POSITIONS crystal
Hg 0.000 0.140 0.360
Tl 0.500 0.327 0.173
Hg 0.000 0.640 0.140
Tl 0.500 0.673 0.827
Tl 0.500 0.827 0.327
Tl 0.500 0.173 0.673
Hg 0.000 0.360 0.860
Hg 0.000 0.860 0.640
As 0.000 0.500 0.500
As 0.000 0.000 0.000
```

Below is a relaxed structure of TlHg2As, with properties calculated at the PBEsol level. Values from VASP.

```
&SYSTEM
  ibrav = 0, nat = 4, ntyp = 3
/
ATOMIC_SPECIES
Hg 200.59 Hg.upf
Tl 204.38 Tl.upf
As 74.92 As.upf
CELL_PARAMETERS angstrom
-2.160 2.248 -1.251
-0.695 -2.766 -1.775
-5.784 -2.302 5.851
ATOMIC_POSITIONS crystal
Hg 0.000 0.000 0.772
Tl 0.500 0.500 0.500
Hg 0.000 0.000 0.228
As 0.500 0.500 0.000
```

- excess energy over the best structure of this formula in the dataset (eV per atom) = 0.021

Below is a relaxed structure of TlHgAs2, with properties calculated at the PBEsol level. Values from VASP.

```
&SYSTEM
  ibrav = 0, nat = 4, ntyp = 3
/
ATOMIC_SPECIES
As 74.92 As.upf
Hg 200.59 Hg.upf
Tl 204.38 Tl.upf
CELL_PARAMETERS angstrom
4.993 0.000 0.000
2.497 4.324 0.000
2.497 1.441 4.077
ATOMIC_POSITIONS crystal
As 0.250 0.250 0.250
Hg 0.000 0.000 0.000
As 0.750 0.750 0.750
Tl 0.500 0.500 0.500
```

- excess energy over the best structure of this formula in the dataset (eV per atom) = 0.349

Below is a relaxed structure of TlHgAs2, with properties calculated at the PBEsol level. Values from VASP.

```
&SYSTEM
  ibrav = 0, nat = 4, ntyp = 3
/
ATOMIC_SPECIES
As 74.92 As.upf
Hg 200.59 Hg.upf
Tl 204.38 Tl.upf
CELL_PARAMETERS angstrom
-0.243 2.574 -1.674
-5.569 -1.349 0.044
2.059 2.438 4.760
ATOMIC_POSITIONS crystal
As 0.000 0.000 0.500
Hg 0.500 0.000 0.000
As 0.000 0.500 0.000
Tl 0.500 0.500 0.500
```

- excess energy over the best structure of this formula in the dataset (eV per atom) = 0.285

The records above yield formation energy from the elements values of 1.7; 3.9; 8.7; 7.2 kcal/mol of atoms, respectively.